(1)
DFT (PBE-GGA) results for GeTeRu after structural relaxation.

Properties
For the total moment, the calculation gives 0.000 μB/f.u. The value obtained for the energy relative to the elements, uncorrected is -0.04 eV per atom.

Cell lengths 8.2977, 3.1352, 12.0454 Å; angles 90.00, 125.88, 90.00 degrees
Fractional coordinates of all 12 atoms:
Ge (0.4788, 0.0000, 0.2528)
Ge (0.4788, 0.5000, 0.7528)
Ge (0.9911, 0.0000, 0.2789)
Ge (0.9911, 0.5000, 0.7789)
Te (0.9807, 0.0000, 0.0048)
Te (0.9807, 0.5000, 0.5048)
Te (0.5078, 0.0000, 0.9996)
Te (0.5078, 0.5000, 0.4996)
Ru (0.2739, 0.0000, 0.5408)
Ru (0.2739, 0.5000, 0.0408)
Ru (0.7026, 0.0000, 0.7232)
Ru (0.7026, 0.5000, 0.2232)



(2)
DFT (PBE-GGA) results for BiSb2Au after structural relaxation.

Properties
For the total moment, the calculation gives 0.000 μB/f.u. The value obtained for the energy relative to the elements, uncorrected is 0.00 eV per atom.

Cell lengths 4.2784, 4.2784, 7.4245 Å; angles 73.25, 73.25, 60.00 degrees
Fractional coordinates of all 4 atoms:
Sb (0.2631, 0.2631, 0.2106)
Sb (0.7369, 0.7369, 0.7894)
Au (0.0000, 0.0000, 0.0000)
Bi (0.5000, 0.5000, 0.5000)